1.
Entry from Alexandria via LeMat-Bulk: crystalline PaBrO at its relaxed geometry (PBE).

## Properties
Raw total energy, eV for the cell shown: -90.98
Volume, Å³/cell: 262.6

Lattice parameters (Å, degrees): 11.6052 3.7928 5.9656 90.00 90.00 90.00
Space group Pnma (No. 62)
Symmetry-distinct sites (fractional):
Pa: 0.0502 0.2500 0.2485 [4 per cell]
Br: 0.1858 0.7500 0.9389 [4 per cell]
O: 0.0683 0.7500 0.4351 [4 per cell]


2.
Entry from Alexandria via LeMat-Bulk: crystalline SrLi2Ti at its relaxed geometry (PBE).

## Properties
E above lowest polymorph, meV per atom: 0
Raw total energy, eV for the cell shown: -44.54
Volume, Å³/cell: 404.1
ΔE_f, meV per atom: 568

Lattice parameters (Å, degrees): 7.3933 7.3933 7.3933 90.00 90.00 90.00
Space group Fm-3m (No. 225)
Symmetry-distinct sites (fractional):
Sr: 0.0000 0.0000 0.0000 [4 per cell]
Li: 0.2500 0.2500 0.2500 [8 per cell]
Ti: 0.0000 0.0000 0.5000 [4 per cell]


3.
Entry from Alexandria via LeMat-Bulk: crystalline Y2TaMn at its relaxed geometry (PBE).

## Properties
E above lowest polymorph, meV per atom: 289
Raw total energy, eV for the cell shown: -32.17
Volume, Å³/cell: 92.1
ΔE_f, meV per atom: 446

Lattice parameters (Å, degrees): 3.3197 3.9444 7.0366 90.00 90.00 90.00
Space group Pmmm (No. 47)
Symmetry-distinct sites (fractional):
Y: 0.0000 0.0000 0.2433 [2 per cell]
Ta: 0.5000 0.5000 0.5000 [1 per cell]
Mn: 0.5000 0.5000 0.0000 [1 per cell]


4.
Entry from Alexandria via LeMat-Bulk: crystalline MgTa3Se at its relaxed geometry (PBE).

## Properties
E above lowest polymorph, meV per atom: 0
Raw total energy, eV for the cell shown: -36.37
Volume, Å³/cell: 107.9

Lattice parameters (Å, degrees): 4.7611 4.7611 4.7611 90.00 90.00 90.00
Space group Pm-3m (No. 221)
Symmetry-distinct sites (fractional):
Mg: 0.0000 0.0000 0.0000 [1 per cell]
Ta: 0.0000 0.5000 0.5000 [3 per cell]
Se: 0.5000 0.5000 0.5000 [1 per cell]


5.
Entry from Alexandria via LeMat-Bulk: crystalline Sc2Ag3 at its relaxed geometry (PBE).

## Properties
E above lowest polymorph, meV per atom: 117
Raw total energy, eV for the cell shown: -175.73
Volume, Å³/cell: 806.8
ΔE_f, meV per atom: -150

Lattice parameters (Å, degrees): 9.2756 14.1524 6.1459 90.00 90.00 90.00
Space group Fdd2 (No. 43)
Symmetry-distinct sites (fractional):
Sc: 0.0537 0.2994 0.0000 [16 per cell]
Ag: 0.0000 0.0000 0.4011 [8 per cell]
Ag: 0.0410 0.3942 0.5072 [16 per cell]


6.
Entry from Alexandria via LeMat-Bulk: crystalline Mn2MoRhN at its relaxed geometry (PBE).

## Properties
Raw total energy, eV for the cell shown: -45.57
Volume, Å³/cell: 58.5

Lattice parameters (Å, degrees): 3.7971 3.7971 4.0571 90.00 90.00 90.00
Space group P4/mmm (No. 123)
Symmetry-distinct sites (fractional):
Mn: 0.0000 0.5000 0.0000 [2 per cell]
Mo: 0.0000 0.0000 0.5000 [1 per cell]
Rh: 0.5000 0.5000 0.5000 [1 per cell]
N: 0.0000 0.0000 0.0000 [1 per cell]


7.
Entry from Alexandria via LeMat-Bulk: crystalline NaCa2In2 at its relaxed geometry (PBE).

## Properties
E above lowest polymorph, meV per atom: 91
Raw total energy, eV for the cell shown: -23.83
Volume, Å³/cell: 315.6
ΔE_f, meV per atom: -224

Lattice parameters (Å, degrees): 9.1899 9.1899 3.7367 90.00 90.00 90.00
Space group P4/mbm (No. 127)
Symmetry-distinct sites (fractional):
Na: 0.0000 0.0000 0.0000 [2 per cell]
Ca: 0.1504 0.3496 0.0000 [4 per cell]
In: 0.1452 0.6452 0.5000 [4 per cell]


8.
Entry from Alexandria via LeMat-Bulk: crystalline Pm2TlCo at its relaxed geometry (PBE).

## Properties
Raw total energy, eV for the cell shown: -79.56
Volume, Å³/cell: 408.7
ΔE_f, meV per atom: -229

Lattice parameters (Å, degrees): 14.1473 3.7726 7.6783 90.00 94.16 90.00
Space group C2/m (No. 12)
Symmetry-distinct sites (fractional):
Pm: 0.0399 0.0000 0.2937 [4 per cell]
Pm: 0.2266 0.0000 0.6948 [4 per cell]
Tl: 0.1122 0.5000 0.9625 [4 per cell]
Co: 0.0964 0.5000 0.5726 [4 per cell]


9.
Entry from Alexandria via LeMat-Bulk: crystalline SrLaHg2P at its relaxed geometry (PBE).

## Properties
Raw total energy, eV for the cell shown: -12.49
Volume, Å³/cell: 154.5
ΔE_f, meV per atom: 26

Lattice parameters (Å, degrees): 5.2916 5.2916 5.5161 90.00 90.00 90.00
Space group P4/mmm (No. 123)
Symmetry-distinct sites (fractional):
Sr: 0.0000 0.0000 0.0000 [1 per cell]
La: 0.5000 0.5000 0.0000 [1 per cell]
Hg: 0.0000 0.5000 0.5000 [2 per cell]
P: 0.0000 0.0000 0.5000 [1 per cell]


10.
Entry from Alexandria via LeMat-Bulk: crystalline ZrPbBr at its relaxed geometry (PBE).

## Properties
E above lowest polymorph, meV per atom: 97
Raw total energy, eV for the cell shown: -30.58
Volume, Å³/cell: 168.0

Lattice parameters (Å, degrees): 3.3093 3.3093 15.3399 90.00 90.00 90.00
Space group I4mm (No. 107)
Symmetry-distinct sites (fractional):
Zr: 0.0000 0.0000 0.0000 [2 per cell]
Pb: 0.0000 0.0000 0.6556 [2 per cell]
Br: 0.0000 0.0000 0.3933 [2 per cell]


11.
Entry from Alexandria via LeMat-Bulk: crystalline La3Tb3YSe8 at its relaxed geometry (PBE).

## Properties
Raw total energy, eV for the cell shown: -275.71
Volume, Å³/cell: 1244.4

Lattice parameters (Å, degrees): 8.3089 8.3089 20.8134 90.00 90.00 120.00
Space group R-3m (No. 166, hexagonal axes)
Symmetry-distinct sites (fractional):
La: 0.0000 0.5000 0.0000 [9 per cell]
Tb: 0.0000 0.5000 0.5000 [9 per cell]
Y: 0.0000 0.0000 0.5000 [3 per cell]
Se: 0.0000 0.0000 0.2446 [6 per cell]
Se: 0.0037 0.5018 0.7545 [18 per cell]


12.
Entry from Alexandria via LeMat-Bulk: crystalline CeNdTm4 at its relaxed geometry (PBE).

## Properties
E above lowest polymorph, meV per atom: 281
Raw total energy, eV for the cell shown: -106.36
Volume, Å³/cell: 817.7
ΔE_f, meV per atom: 333

Lattice parameters (Å, degrees): 9.3512 9.3512 9.3512 90.00 90.00 90.00
Space group F-43m (No. 216)
Symmetry-distinct sites (fractional):
Ce: 0.0000 0.0000 0.0000 [4 per cell]
Nd: 0.2500 0.2500 0.2500 [4 per cell]
Tm: 0.1255 0.1255 0.6255 [16 per cell]


13.
Entry from Alexandria via LeMat-Bulk: crystalline SrOsW2 at its relaxed geometry (PBE).

## Properties
E above lowest polymorph, meV per atom: 491
Raw total energy, eV for the cell shown: -34.11
Volume, Å³/cell: 72.9
ΔE_f, meV per atom: 1176

Lattice parameters (Å, degrees): 3.1416 4.7431 4.8956 90.00 90.00 90.00
Space group Pmmm (No. 47)
Symmetry-distinct sites (fractional):
Sr: 0.0000 0.0000 0.0000 [1 per cell]
Os: 0.5000 0.5000 0.0000 [1 per cell]
W: 0.0000 0.5000 0.5000 [1 per cell]
W: 0.5000 0.0000 0.5000 [1 per cell]


14.
Entry from Alexandria via LeMat-Bulk: crystalline ZrTa2Fe at its relaxed geometry (PBE).

## Properties
E above lowest polymorph, meV per atom: 115
Raw total energy, eV for the cell shown: -40.37
Volume, Å³/cell: 68.9
ΔE_f, meV per atom: 86

Lattice parameters (Å, degrees): 3.2459 4.4927 4.7255 90.00 90.00 90.00
Space group Pmmm (No. 47)
Symmetry-distinct sites (fractional):
Zr: 0.0000 0.0000 0.0000 [1 per cell]
Ta: 0.0000 0.5000 0.5000 [1 per cell]
Ta: 0.5000 0.0000 0.5000 [1 per cell]
Fe: 0.5000 0.5000 0.0000 [1 per cell]


15.
Entry from Alexandria via LeMat-Bulk: crystalline LiDyIrAu at its relaxed geometry (PBE).

## Properties
Raw total energy, eV for the cell shown: -82.88
Volume, Å³/cell: 296.5
ΔE_f, meV per atom: -517

Lattice parameters (Å, degrees): 6.6681 6.6681 6.6681 90.00 90.00 90.00
Space group F-43m (No. 216)
Symmetry-distinct sites (fractional):
Li: 0.0000 0.0000 0.0000 [4 per cell]
Dy: 0.0000 0.0000 0.5000 [4 per cell]
Ir: 0.2500 0.2500 0.7500 [4 per cell]
Au: 0.2500 0.2500 0.2500 [4 per cell]


16.
Entry from Alexandria via LeMat-Bulk: crystalline AgWBr2 at its relaxed geometry (PBE).

## Properties
E above lowest polymorph, meV per atom: 204
Raw total energy, eV for the cell shown: -33.88
Volume, Å³/cell: 200.6

Lattice parameters (Å, degrees): 3.0703 5.8457 11.1741 90.00 90.00 90.00
Space group Cmmm (No. 65)
Symmetry-distinct sites (fractional):
Ag: 0.0000 0.0000 0.0000 [2 per cell]
W: 0.0000 0.0000 0.5000 [2 per cell]
Br: 0.0000 0.5000 0.3145 [4 per cell]


17.
Entry from Alexandria via LeMat-Bulk: crystalline Ac2ZrP3Rh12 at its relaxed geometry (PBE).

## Properties
Raw total energy, eV for the cell shown: -380.42
Volume, Å³/cell: 1006.2
ΔE_f, meV per atom: -311

Lattice parameters (Å, degrees): 8.5367 8.5367 15.9426 90.00 90.00 120.00
Space group R-3m (No. 166, hexagonal axes)
Symmetry-distinct sites (fractional):
Ac: 0.0000 0.0000 0.1074 [6 per cell]
Zr: 0.0000 0.0000 0.5000 [3 per cell]
P: 0.0000 0.5000 0.0000 [9 per cell]
Rh: 0.0098 0.5049 0.8625 [18 per cell]
Rh: 0.0583 0.5292 0.3507 [18 per cell]


18.
Entry from Alexandria via LeMat-Bulk: crystalline CuSe5 at its relaxed geometry (PBE).

## Properties
E above lowest polymorph, meV per atom: 407
Raw total energy, eV for the cell shown: -18.71
Volume, Å³/cell: 125.6

Lattice parameters (Å, degrees): 3.3147 3.3147 11.4333 90.00 90.00 90.00
Space group P4/mmm (No. 123)
Symmetry-distinct sites (fractional):
Cu: 0.0000 0.0000 0.0000 [1 per cell]
Se: 0.0000 0.0000 0.3493 [2 per cell]
Se: 0.5000 0.5000 0.1105 [2 per cell]
Se: 0.5000 0.5000 0.5000 [1 per cell]


19.
Entry from Alexandria via LeMat-Bulk: crystalline MnPb5 at its relaxed geometry (PBE).

## Properties
Raw total energy, eV for the cell shown: -24.68
Volume, Å³/cell: 203.2
ΔE_f, meV per atom: 506

Lattice parameters (Å, degrees): 6.2516 6.2516 6.0048 90.00 90.00 120.00
Space group P6/mmm (No. 191)
Symmetry-distinct sites (fractional):
Mn: 0.0000 0.0000 0.0000 [1 per cell]
Pb: 0.0000 0.5000 0.5000 [3 per cell]
Pb: 0.3333 0.6667 0.0000 [2 per cell]


20.
Entry from Alexandria via LeMat-Bulk: crystalline Sr3BeCd at its relaxed geometry (PBE).

## Properties
E above lowest polymorph, meV per atom: 0
Raw total energy, eV for the cell shown: -8.33
Volume, Å³/cell: 207.5
ΔE_f, meV per atom: 272

Lattice parameters (Å, degrees): 5.9204 5.9204 5.9204 90.00 90.00 90.00
Space group Pm-3m (No. 221)
Symmetry-distinct sites (fractional):
Sr: 0.0000 0.0000 0.5000 [3 per cell]
Be: 0.0000 0.0000 0.0000 [1 per cell]
Cd: 0.5000 0.5000 0.5000 [1 per cell]